Entry 1:
First-principles (PBE-GGA) data for La2YAl7Cu2 after structural relaxation, as listed in OQMD via LeMat-Bulk.

a = 9.2522 Å, b = 9.2522 Å, c = 9.2522 Å
α = 35.18°, β = 35.18°, γ = 35.18°
With the nearest neighbours (Å) after each atom.
Sites, in units of the cell vectors:
Y (0.0000, 0.0000, 0.0000)  6 Cu 3.23, 12 Al 3.42
Al (0.4217, 0.4217, 0.9294)  2 Cu 2.52-2.57, 2 Al 2.75
Al (0.9294, 0.4217, 0.4217)  2 Cu 2.52-2.57, 2 Al 2.75
Al (0.5783, 0.0706, 0.5783)  2 Cu 2.52-2.57, 2 Al 2.75
Al (0.0706, 0.5783, 0.5783)  2 Cu 2.52-2.57, 2 Al 2.75
Al (0.4217, 0.9294, 0.4217)  2 Cu 2.52-2.57, 2 Al 2.75
Al (0.5783, 0.5783, 0.0706)  2 Cu 2.52-2.57, 2 Al 2.75
Al (0.5000, 0.5000, 0.5000)  6 Al 2.88
La (0.8577, 0.8577, 0.8577)  12 Al 3.29-3.39, 3 La 3.47
La (0.1423, 0.1423, 0.1423)  12 Al 3.29-3.39, 3 La 3.47
Cu (0.6646, 0.6646, 0.6646)  6 Al 2.52-2.57
Cu (0.3354, 0.3354, 0.3354)  6 Al 2.52-2.57

Computed properties:
- calculated total energy (eV/cell) = -55.51
- space group = No. 166
- calculated volume (Å³/cell) = 234.9

***

Entry 2:
First-principles (PBE-GGA) data for LiAlCu2 after structural relaxation, as listed in OQMD via LeMat-Bulk.

a = 4.9370 Å, b = 6.8703 Å, c = 6.9595 Å
α = 90.00°, β = 90.00°, γ = 90.00°
With the nearest neighbours (Å) after each atom.
Sites, in units of the cell vectors:
Li (0.8626, 0.2500, 0.9673)  3 Al 2.68-2.78, 8 Cu 2.70-2.97
Li (0.6374, 0.2500, 0.4673)  3 Al 2.68-2.78, 8 Cu 2.70-2.97
Li (0.1374, 0.7500, 0.0327)  3 Al 2.68-2.78, 8 Cu 2.70-2.97
Li (0.3626, 0.7500, 0.5327)  3 Al 2.68-2.78, 8 Cu 2.70-2.97
Cu (0.0703, 0.4389, 0.3224)  3 Al 2.41-2.45, 1 Cu 2.60
Cu (0.5703, 0.9389, 0.1776)  3 Al 2.41-2.45, 1 Cu 2.60
Cu (0.0703, 0.0611, 0.3224)  3 Al 2.41-2.45, 1 Cu 2.60
Cu (0.9297, 0.5611, 0.6776)  3 Al 2.41-2.45, 1 Cu 2.60
Cu (0.4297, 0.4389, 0.8224)  3 Al 2.41-2.45, 1 Cu 2.60
Cu (0.5703, 0.5611, 0.1776)  3 Al 2.41-2.45, 1 Cu 2.60
Cu (0.9297, 0.9389, 0.6776)  3 Al 2.41-2.45, 1 Cu 2.60
Cu (0.4297, 0.0611, 0.8224)  3 Al 2.41-2.45, 1 Cu 2.60
Al (0.1368, 0.2500, 0.6178)  6 Cu 2.41-2.45, 2 Li 2.68
Al (0.6368, 0.7500, 0.8822)  6 Cu 2.41-2.45, 2 Li 2.68
Al (0.8632, 0.7500, 0.3822)  6 Cu 2.41-2.45, 2 Li 2.68
Al (0.3632, 0.2500, 0.1178)  6 Cu 2.41-2.45, 2 Li 2.68

Computed properties:
- calculated total energy (eV/cell) = -53.22
- space group = No. 62
- calculated volume (Å³/cell) = 236.1

***

Entry 3:
First-principles (PBE-GGA) data for Li4Al3Cu after structural relaxation, as listed in OQMD via LeMat-Bulk.

a = 4.3010 Å, b = 4.3010 Å, c = 6.1648 Å
α = 90.00°, β = 90.00°, γ = 90.00°
With the nearest neighbours (Å) after each atom.
Sites, in units of the cell vectors:
Al (0.5000, 0.0000, 0.7655)  4 Li 2.59-2.70, 2 Cu 2.59, 2 Al 2.70
Al (0.0000, 0.5000, 0.2345)  2 Cu 2.59, 4 Li 2.59-2.70, 2 Al 2.70
Al (0.0000, 0.0000, 0.5000)  4 Li 2.67, 4 Al 2.70
Li (0.0000, 0.5000, 0.7557)  2 Cu 2.63, 4 Li 2.63-2.67, 2 Al 2.67
Li (0.0000, 0.0000, 0.0000)  4 Al 2.59, 4 Li 2.63
Li (0.5000, 0.5000, 0.5000)  4 Li 2.67, 4 Al 2.70
Li (0.5000, 0.0000, 0.2443)  4 Li 2.63-2.67, 2 Cu 2.63, 2 Al 2.67
Cu (0.5000, 0.5000, 0.0000)  4 Al 2.59, 4 Li 2.63

Computed properties:
- calculated total energy (eV/cell) = -24.24
- space group = No. 115
- calculated volume (Å³/cell) = 114.0

***

Entry 4:
First-principles (PBE-GGA) data for LiAlCu2 after structural relaxation, as listed in OQMD via LeMat-Bulk.

a = 4.1647 Å, b = 4.1647 Å, c = 7.4050 Å
α = 90.00°, β = 90.00°, γ = 120.00°
With the nearest neighbours (Å) after each atom.
Sites, in units of the cell vectors:
Cu (0.3333, 0.6667, 0.5807)  4 Li 2.45-2.71, 3 Al 2.48, 4 Cu 2.51-2.69
Cu (0.6667, 0.3333, 0.4193)  4 Li 2.45-2.71, 3 Al 2.48, 4 Cu 2.51-2.69
Cu (0.6667, 0.3333, 0.0807)  4 Li 2.45-2.71, 3 Al 2.48, 4 Cu 2.51-2.69
Cu (0.3333, 0.6667, 0.9193)  4 Li 2.45-2.71, 3 Al 2.48, 4 Cu 2.51-2.69
Li (0.3333, 0.6667, 0.2500)  8 Cu 2.45-2.71
Li (0.6667, 0.3333, 0.7500)  8 Cu 2.45-2.71
Al (0.0000, 0.0000, 0.0000)  6 Cu 2.48
Al (0.0000, 0.0000, 0.5000)  6 Cu 2.48

Computed properties:
- calculated total energy (eV/cell) = -27.13
- space group = No. 194
- calculated volume (Å³/cell) = 111.2

***

Entry 5:
First-principles (PBE-GGA) data for LiAlCu2 after structural relaxation, as listed in OQMD via LeMat-Bulk.

a = 5.8374 Å, b = 5.8374 Å, c = 5.8374 Å
α = 90.00°, β = 90.00°, γ = 90.00°
With the nearest neighbours (Å) after each atom.
Sites, in units of the cell vectors:
Cu (0.7525, 0.7525, 0.7525)  4 Li 2.50-2.52, 4 Al 2.54-2.55
Cu (0.7525, 0.2475, 0.7525)  4 Li 2.50-2.52, 4 Al 2.54-2.55
Cu (0.2475, 0.7525, 0.2475)  4 Li 2.50-2.52, 4 Al 2.54-2.55
Cu (0.2475, 0.2475, 0.7525)  4 Li 2.50-2.52, 4 Al 2.54-2.55
Cu (0.7525, 0.2475, 0.2475)  4 Li 2.50-2.52, 4 Al 2.54-2.55
Cu (0.7525, 0.7525, 0.2475)  4 Li 2.50-2.52, 4 Al 2.54-2.55
Cu (0.2475, 0.2475, 0.2475)  4 Li 2.50-2.52, 4 Al 2.54-2.55
Cu (0.2475, 0.7525, 0.7525)  4 Li 2.50-2.52, 4 Al 2.54-2.55
Al (0.0000, 0.5000, 0.5000)  8 Cu 2.54
Al (0.5000, 0.5000, 0.5000)  8 Cu 2.55
Al (0.5000, 0.0000, 0.5000)  8 Cu 2.54
Al (0.5000, 0.5000, 0.0000)  8 Cu 2.54
Li (0.5000, 0.0000, 0.0000)  8 Cu 2.52
Li (0.0000, 0.0000, 0.0000)  8 Cu 2.50
Li (0.0000, 0.5000, 0.0000)  8 Cu 2.52
Li (0.0000, 0.0000, 0.5000)  8 Cu 2.52

Computed properties:
- calculated total energy (eV/cell) = -55.10
- space group = No. 221
- calculated volume (Å³/cell) = 198.9

***

Entry 6:
First-principles (PBE-GGA) data for LiAlCu after structural relaxation, as listed in OQMD via LeMat-Bulk.

a = 4.2506 Å, b = 4.2511 Å, c = 5.0238 Å
α = 89.98°, β = 89.99°, γ = 60.01°
With the nearest neighbours (Å) after each atom.
Sites, in units of the cell vectors:
Cu (0.2540, 0.6971, 0.6999)  5 Al 2.51-2.58, 3 Li 2.60
Cu (0.9208, 0.3635, 0.0430)  5 Al 2.51-2.58, 3 Li 2.60
Al (0.9207, 0.3638, 0.5434)  5 Cu 2.51-2.58, 3 Li 2.60
Al (0.2540, 0.6969, 0.1996)  5 Cu 2.51-2.58, 3 Li 2.60
Li (0.5874, 0.0303, 0.8710)  2 Li 2.51, 6 Cu 2.60
Li (0.5873, 0.0303, 0.3710)  2 Li 2.51, 6 Al 2.60

Computed properties:
- calculated total energy (eV/cell) = -20.12
- space group = No. 164
- calculated volume (Å³/cell) = 78.6

***

Entry 7:
First-principles (PBE-GGA) data for LiAlCu2 after structural relaxation, as listed in OQMD via LeMat-Bulk.

a = 5.8359 Å, b = 5.8359 Å, c = 5.8359 Å
α = 90.00°, β = 90.00°, γ = 90.00°
With the nearest neighbours (Å) after each atom.
Sites, in units of the cell vectors:
Cu (0.7476, 0.2524, 0.7476)  4 Li 2.50-2.52, 4 Al 2.54-2.55
Cu (0.2524, 0.7476, 0.2524)  4 Li 2.50-2.52, 4 Al 2.54-2.55
Cu (0.7476, 0.7476, 0.2524)  4 Li 2.50-2.52, 4 Al 2.54-2.55
Cu (0.7476, 0.2524, 0.2524)  4 Li 2.50-2.52, 4 Al 2.54-2.55
Cu (0.7476, 0.7476, 0.7476)  4 Li 2.50-2.52, 4 Al 2.54-2.55
Cu (0.2524, 0.2524, 0.2524)  4 Li 2.50-2.52, 4 Al 2.54-2.55
Cu (0.2524, 0.2524, 0.7476)  4 Li 2.50-2.52, 4 Al 2.54-2.55
Cu (0.2524, 0.7476, 0.7476)  4 Li 2.50-2.52, 4 Al 2.54-2.55
Al (0.5000, 0.0000, 0.0000)  8 Cu 2.54
Al (0.0000, 0.5000, 0.0000)  8 Cu 2.54
Al (0.0000, 0.0000, 0.0000)  8 Cu 2.55
Al (0.0000, 0.0000, 0.5000)  8 Cu 2.54
Li (0.5000, 0.0000, 0.5000)  8 Cu 2.52
Li (0.5000, 0.5000, 0.5000)  8 Cu 2.50
Li (0.5000, 0.5000, 0.0000)  8 Cu 2.52
Li (0.0000, 0.5000, 0.5000)  8 Cu 2.52

Computed properties:
- calculated total energy (eV/cell) = -55.10
- space group = No. 221
- calculated volume (Å³/cell) = 198.8

***

Entry 8:
First-principles (PBE-GGA) data for LiAlCu2 after structural relaxation, as listed in OQMD via LeMat-Bulk.

a = 4.0999 Å, b = 4.0999 Å, c = 7.3533 Å
α = 90.00°, β = 90.00°, γ = 120.00°
With the nearest neighbours (Å) after each atom.
Sites, in units of the cell vectors:
Cu (0.6667, 0.3333, 0.4130)  1 Cu 2.40, 3 Li 2.45, 4 Al 2.48-2.65
Cu (0.6667, 0.3333, 0.0870)  1 Cu 2.40, 3 Li 2.45, 4 Al 2.48-2.65
Cu (0.3333, 0.6667, 0.5870)  1 Cu 2.40, 3 Li 2.45, 4 Al 2.48-2.65
Cu (0.3333, 0.6667, 0.9130)  1 Cu 2.40, 3 Li 2.45, 4 Al 2.48-2.65
Li (0.0000, 0.0000, 0.5000)  6 Cu 2.45
Li (0.0000, 0.0000, 0.0000)  6 Cu 2.45
Al (0.6667, 0.3333, 0.7500)  8 Cu 2.48-2.65
Al (0.3333, 0.6667, 0.2500)  8 Cu 2.48-2.65

Computed properties:
- calculated total energy (eV/cell) = -27.55
- space group = No. 194
- calculated volume (Å³/cell) = 107.0

***

Q: Which of these has the highest calculated volume?
A: number 2

***

Q: Which value of calculated volume does entry 7 give?
A: 198.8 Å³/cell

***

Q: calculated total energy of number 3 (Li4Al3Cu)?
A: -24.24 eV/cell